DFT (PBE) results for a relaxed BeCrP2S crystal.

a b c (Å): 4.330 4.330 4.419
angles (deg): 90.00 90.00 90.00
Atoms (fractional coordinates):
1 Be 0.000 0.000 0.000
2 Cr 0.000 0.000 0.500
3 P 0.000 0.500 0.500
4 P 0.500 0.000 0.500
5 S 0.500 0.500 0.000

Output
**Total magnetization**: 0.031 μB per atom
**Space group**: No. 123
**ΔE_f (raw)**: 0.7113 eV/atom
**N(E_F)**: 0.566 states/eV per atom
**Polymorph energy (0 for the lowest one)**: 0.077 eV/atom